Entry 1:
First-principles (GGA-PBE) data for a relaxed structure of Ba2In4GaAg3, as listed in Alexandria via LeMat-Bulk.

CIF file:
```
data_Ba2In4GaAg3
_cell_length_a 4.841
_cell_length_b 4.841
_cell_length_c 11.750
_cell_angle_alpha 90.00
_cell_angle_beta 90.00
_cell_angle_gamma 90.00
_space_group_name_H-M_alt 'P 1'
_space_group_IT_number 1
_space_group_name_Hall 'P 1'
loop_
_atom_site_label
_atom_site_type_symbol
_atom_site_fract_x
_atom_site_fract_y
_atom_site_fract_z
_atom_site_occupancy
Ba1 Ba 0.500 0.000 0.255 1
Ba2 Ba 0.000 0.500 0.745 1
In1 In 0.500 0.500 0.000 1
In2 In 0.000 0.000 0.000 1
In3 In 0.500 0.000 0.628 1
In4 In 0.000 0.500 0.372 1
Ga1 Ga 0.500 0.500 0.500 1
Ag1 Ag 0.000 0.000 0.500 1
Ag2 Ag 0.500 0.000 0.866 1
Ag3 Ag 0.000 0.500 0.134 1
```

Density = 6.80 g cm⁻³
Crystal system = tetragonal
DOS at the Fermi energy = 6.963 states/eV/f.u.
Formation energy = -0.31 eV per atom



Entry 2:
First-principles (GGA-PBE) data for a relaxed structure of Pr5Ga2Ag2, as listed in Alexandria via LeMat-Bulk.

CIF file:
```
data_Pr5Ga2Ag2
_cell_length_a 7.777
_cell_length_b 7.923
_cell_length_c 9.269
_cell_angle_alpha 115.30
_cell_angle_beta 90.00
_cell_angle_gamma 90.00
_space_group_name_H-M_alt 'P 1'
_space_group_IT_number 1
_space_group_name_Hall 'P 1'
loop_
_atom_site_label
_atom_site_type_symbol
_atom_site_fract_x
_atom_site_fract_y
_atom_site_fract_z
_atom_site_occupancy
Pr1 Pr 0.000 0.000 0.000 1
Pr2 Pr 0.500 0.500 0.000 1
Pr3 Pr 0.822 0.819 0.273 1
Pr4 Pr 0.178 0.453 0.273 1
Pr5 Pr 0.322 0.953 0.273 1
Pr6 Pr 0.678 0.319 0.273 1
Pr7 Pr 0.178 0.181 0.727 1
Pr8 Pr 0.822 0.547 0.727 1
Pr9 Pr 0.678 0.047 0.727 1
Pr10 Pr 0.322 0.681 0.727 1
Ga1 Ga 0.614 0.883 0.000 1
Ga2 Ga 0.386 0.117 0.000 1
Ga3 Ga 0.114 0.617 0.000 1
Ga4 Ga 0.886 0.383 0.000 1
Ag1 Ag 0.000 0.215 0.430 1
Ag2 Ag 0.500 0.715 0.430 1
Ag3 Ag 0.000 0.785 0.570 1
Ag4 Ag 0.500 0.285 0.570 1
```

Density = 6.82 g cm⁻³
Crystal system = orthorhombic
DOS at the Fermi energy = 11.314 states/eV/f.u.
Formation energy = -0.33 eV per atom



Entry 3:
First-principles (GGA-PBE) data for a relaxed structure of UH6Br12, as listed in Alexandria via LeMat-Bulk.

CIF file:
```
data_UH6Br12
_cell_length_a 8.945
_cell_length_b 8.945
_cell_length_c 8.945
_cell_angle_alpha 90.50
_cell_angle_beta 90.50
_cell_angle_gamma 90.50
_space_group_name_H-M_alt 'P 1'
_space_group_IT_number 1
_space_group_name_Hall 'P 1'
loop_
_atom_site_label
_atom_site_type_symbol
_atom_site_fract_x
_atom_site_fract_y
_atom_site_fract_z
_atom_site_occupancy
U1 U 0.000 0.000 0.000 1
H1 H 0.296 0.315 0.504 1
H2 H 0.685 0.496 0.704 1
H3 H 0.496 0.704 0.685 1
H4 H 0.704 0.685 0.496 1
H5 H 0.315 0.504 0.296 1
H6 H 0.504 0.296 0.315 1
Br1 Br 0.394 0.189 0.533 1
Br2 Br 0.189 0.533 0.394 1
Br3 Br 0.533 0.394 0.189 1
Br4 Br 0.606 0.811 0.467 1
Br5 Br 0.811 0.467 0.606 1
Br6 Br 0.467 0.606 0.811 1
Br7 Br 0.066 0.908 0.728 1
Br8 Br 0.272 0.934 0.092 1
Br9 Br 0.092 0.272 0.934 1
Br10 Br 0.934 0.092 0.272 1
Br11 Br 0.728 0.066 0.908 1
Br12 Br 0.908 0.728 0.066 1
```

Density = 2.79 g cm⁻³
Crystal system = trigonal
DFT total energy = -3.26 eV/atom



Entry 4:
First-principles (GGA-PBE) data for a relaxed structure of MnPCl4, as listed in Alexandria via LeMat-Bulk.

CIF file:
```
data_MnPCl4
_cell_length_a 5.828
_cell_length_b 5.828
_cell_length_c 5.828
_cell_angle_alpha 60.00
_cell_angle_beta 60.00
_cell_angle_gamma 60.00
_space_group_name_H-M_alt 'P 1'
_space_group_IT_number 1
_space_group_name_Hall 'P 1'
loop_
_atom_site_label
_atom_site_type_symbol
_atom_site_fract_x
_atom_site_fract_y
_atom_site_fract_z
_atom_site_occupancy
Mn1 Mn 0.750 0.750 0.750 1
P1 P 0.000 0.000 0.000 1
Cl1 Cl 0.871 0.376 0.376 1
Cl2 Cl 0.376 0.376 0.871 1
Cl3 Cl 0.376 0.871 0.376 1
Cl4 Cl 0.376 0.376 0.376 1
```

Density = 2.70 g cm⁻³
Crystal system = cubic
E_form (uncorrected) = 959 meV/atom
DOS at the Fermi energy = 6.025 states/eV/f.u.



Entry 5:
First-principles (GGA-PBE) data for a relaxed structure of Pm4Hg5Pb, as listed in Alexandria via LeMat-Bulk.

CIF file:
```
data_Pm4Hg5Pb
_cell_length_a 3.839
_cell_length_b 3.839
_cell_length_c 18.702
_cell_angle_alpha 90.00
_cell_angle_beta 90.00
_cell_angle_gamma 90.00
_space_group_name_H-M_alt 'P 1'
_space_group_IT_number 1
_space_group_name_Hall 'P 1'
loop_
_atom_site_label
_atom_site_type_symbol
_atom_site_fract_x
_atom_site_fract_y
_atom_site_fract_z
_atom_site_occupancy
Pm1 Pm 0.000 0.000 0.196 1
Pm2 Pm 0.000 0.000 0.400 1
Pm3 Pm 0.000 0.000 0.600 1
Pm4 Pm 0.000 0.000 0.804 1
Hg1 Hg 0.500 0.500 0.101 1
Hg2 Hg 0.500 0.500 0.302 1
Hg3 Hg 0.500 0.500 0.500 1
Hg4 Hg 0.500 0.500 0.698 1
Hg5 Hg 0.500 0.500 0.899 1
Pb1 Pb 0.000 0.000 0.000 1
```

Density = 10.78 g cm⁻³
Crystal system = tetragonal
DOS at the Fermi energy = 8.421 states/eV/f.u.
Formation energy = -0.41 eV per atom



Entry 6:
First-principles (GGA-PBE) data for a relaxed structure of MnHPd3, as listed in Alexandria via LeMat-Bulk.

CIF file:
```
data_MnHPd3
_cell_length_a 4.890
_cell_length_b 5.636
_cell_length_c 4.890
_cell_angle_alpha 90.00
_cell_angle_beta 109.83
_cell_angle_gamma 90.00
_space_group_name_H-M_alt 'P 1'
_space_group_IT_number 1
_space_group_name_Hall 'P 1'
loop_
_atom_site_label
_atom_site_type_symbol
_atom_site_fract_x
_atom_site_fract_y
_atom_site_fract_z
_atom_site_occupancy
H1 H 0.023 0.250 0.477 1
H2 H 0.977 0.750 0.523 1
Mn1 Mn 0.743 0.250 0.757 1
Mn2 Mn 0.257 0.750 0.243 1
Pd1 Pd 0.749 0.000 0.249 1
Pd2 Pd 0.251 0.000 0.751 1
Pd3 Pd 0.749 0.500 0.249 1
Pd4 Pd 0.251 0.500 0.751 1
Pd5 Pd 0.255 0.250 0.245 1
Pd6 Pd 0.745 0.750 0.755 1
```

Density = 9.83 g cm⁻³
Crystal system = orthorhombic
Energy relative to the lowest polymorph listed for this composition = 33 meV per atom
DOS at the Fermi energy = 1.712 states/eV/f.u.



Entry 7:
First-principles (GGA-PBE) data for a relaxed structure of ZrBe2HgAu, as listed in Alexandria via LeMat-Bulk.

CIF file:
```
data_ZrBe2HgAu
_cell_length_a 4.386
_cell_length_b 5.315
_cell_length_c 4.386
_cell_angle_alpha 90.00
_cell_angle_beta 90.00
_cell_angle_gamma 90.00
_space_group_name_H-M_alt 'P 1'
_space_group_IT_number 1
_space_group_name_Hall 'P 1'
loop_
_atom_site_label
_atom_site_type_symbol
_atom_site_fract_x
_atom_site_fract_y
_atom_site_fract_z
_atom_site_occupancy
Be1 Be 0.000 0.000 0.500 1
Be2 Be 0.500 0.000 0.000 1
Au1 Au 0.000 0.000 0.000 1
Hg1 Hg 0.500 0.500 0.500 1
Zr1 Zr 0.000 0.500 0.000 1
```

Density = 8.23 g cm⁻³
Crystal system = tetragonal
DOS at the Fermi energy = 4.897 states/eV/f.u.
Formation energy = 0.40 eV per atom



Entry 8:
First-principles (GGA-PBE) data for a relaxed structure of Ac3LaNd, as listed in Alexandria via LeMat-Bulk.

CIF file:
```
data_Ac3LaNd
_cell_length_a 10.480
_cell_length_b 5.907
_cell_length_c 8.678
_cell_angle_alpha 90.00
_cell_angle_beta 126.11
_cell_angle_gamma 90.00
_space_group_name_H-M_alt 'P 1'
_space_group_IT_number 1
_space_group_name_Hall 'P 1'
loop_
_atom_site_label
_atom_site_type_symbol
_atom_site_fract_x
_atom_site_fract_y
_atom_site_fract_z
_atom_site_occupancy
Ac1 Ac 0.158 0.950 0.692 1
Ac2 Ac 0.983 0.450 0.851 1
Ac3 Ac 0.480 0.450 0.324 1
Ac4 Ac 0.520 0.950 0.676 1
Ac5 Ac 0.017 0.950 0.149 1
Ac6 Ac 0.842 0.450 0.308 1
La1 La 0.560 0.950 0.131 1
La2 La 0.440 0.450 0.869 1
Nd1 Nd 0.209 0.450 0.423 1
Nd2 Nd 0.791 0.950 0.577 1
```

Density = 7.38 g cm⁻³
Crystal system = monoclinic
Energy relative to the lowest polymorph listed for this composition = 193 meV per atom
DOS at the Fermi energy = 6.673 states/eV/f.u.
Formation energy = 0.22 eV per atom



Entry 9:
First-principles (GGA-PBE) data for a relaxed structure of PaPd2Se6, as listed in Alexandria via LeMat-Bulk.

CIF file:
```
data_PaPd2Se6
_cell_length_a 5.215
_cell_length_b 7.032
_cell_length_c 7.374
_cell_angle_alpha 69.49
_cell_angle_beta 69.29
_cell_angle_gamma 68.24
_space_group_name_H-M_alt 'P 1'
_space_group_IT_number 1
_space_group_name_Hall 'P 1'
loop_
_atom_site_label
_atom_site_type_symbol
_atom_site_fract_x
_atom_site_fract_y
_atom_site_fract_z
_atom_site_occupancy
Pa1 Pa 0.000 0.500 0.500 1
Pd1 Pd 0.167 0.725 0.941 1
Pd2 Pd 0.833 0.275 0.059 1
Se1 Se 0.730 0.657 0.883 1
Se2 Se 0.270 0.343 0.117 1
Se3 Se 0.932 0.890 0.246 1
Se4 Se 0.375 0.647 0.604 1
Se5 Se 0.068 0.110 0.754 1
Se6 Se 0.625 0.353 0.396 1
```

Density = 6.70 g cm⁻³
Crystal system = monoclinic
E_form (uncorrected) = -565 meV/atom
DOS at the Fermi energy = 3.241 states/eV/f.u.



Entry 10:
First-principles (GGA-PBE) data for a relaxed structure of KGaPb, as listed in Alexandria via LeMat-Bulk.

CIF file:
```
data_KGaPb
_cell_length_a 4.699
_cell_length_b 7.167
_cell_length_c 7.186
_cell_angle_alpha 104.98
_cell_angle_beta 75.36
_cell_angle_gamma 75.76
_space_group_name_H-M_alt 'P 1'
_space_group_IT_number 1
_space_group_name_Hall 'P 1'
loop_
_atom_site_label
_atom_site_type_symbol
_atom_site_fract_x
_atom_site_fract_y
_atom_site_fract_z
_atom_site_occupancy
Pb1 Pb 0.134 0.858 0.357 1
Pb2 Pb 0.630 0.677 0.543 1
K1 K 0.331 0.289 0.626 1
K2 K 0.828 0.939 0.973 1
Ga1 Ga 0.642 0.492 0.090 1
Ga2 Ga 0.141 0.403 0.181 1
```

Density = 4.92 g cm⁻³
Crystal system = triclinic
DOS at the Fermi energy = 0.000 states/eV/f.u.
Formation energy = -0.12 eV per atom



Entry 11:
First-principles (GGA-PBE) data for a relaxed structure of La7Y16Tm6, as listed in Alexandria via LeMat-Bulk.

CIF file:
```
data_La7Y16Tm6
_cell_length_a 11.121
_cell_length_b 11.121
_cell_length_c 11.121
_cell_angle_alpha 60.00
_cell_angle_beta 60.00
_cell_angle_gamma 60.00
_space_group_name_H-M_alt 'P 1'
_space_group_IT_number 1
_space_group_name_Hall 'P 1'
loop_
_atom_site_label
_atom_site_type_symbol
_atom_site_fract_x
_atom_site_fract_y
_atom_site_fract_z
_atom_site_occupancy
La1 La 0.000 0.000 0.000 1
La2 La 0.500 0.000 0.500 1
La3 La 0.000 0.500 0.000 1
La4 La 0.000 0.500 0.500 1
La5 La 0.500 0.000 0.000 1
La6 La 0.000 0.000 0.500 1
La7 La 0.500 0.500 0.000 1
Y1 Y 0.850 0.850 0.450 1
Y2 Y 0.850 0.850 0.850 1
Y3 Y 0.850 0.450 0.850 1
Y4 Y 0.450 0.850 0.850 1
Y5 Y 0.150 0.150 0.150 1
Y6 Y 0.150 0.150 0.550 1
Y7 Y 0.150 0.550 0.150 1
Y8 Y 0.550 0.150 0.150 1
Y9 Y 0.611 0.611 0.166 1
Y10 Y 0.611 0.611 0.611 1
Y11 Y 0.611 0.166 0.611 1
Y12 Y 0.166 0.611 0.611 1
Y13 Y 0.389 0.389 0.389 1
Y14 Y 0.389 0.389 0.834 1
Y15 Y 0.389 0.834 0.389 1
Y16 Y 0.834 0.389 0.389 1
Tm1 Tm 0.227 0.773 0.227 1
Tm2 Tm 0.773 0.227 0.773 1
Tm3 Tm 0.773 0.227 0.227 1
Tm4 Tm 0.227 0.773 0.773 1
Tm5 Tm 0.773 0.773 0.227 1
Tm6 Tm 0.227 0.227 0.773 1
```

Density = 5.82 g cm⁻³
Crystal system = cubic
DOS at the Fermi energy = 54.356 states/eV/f.u.
Formation energy = 0.20 eV per atom



Entry 12:
First-principles (GGA-PBE) data for a relaxed structure of Ac4TlSiTe2, as listed in Alexandria via LeMat-Bulk.

CIF file:
```
data_Ac4TlSiTe2
_cell_length_a 4.643
_cell_length_b 8.216
_cell_length_c 8.339
_cell_angle_alpha 108.40
_cell_angle_beta 90.00
_cell_angle_gamma 90.00
_space_group_name_H-M_alt 'P 1'
_space_group_IT_number 1
_space_group_name_Hall 'P 1'
loop_
_atom_site_label
_atom_site_type_symbol
_atom_site_fract_x
_atom_site_fract_y
_atom_site_fract_z
_atom_site_occupancy
Ac1 Ac 0.500 0.231 0.228 1
Ac2 Ac 0.500 0.769 0.772 1
Ac3 Ac 0.000 0.242 0.761 1
Ac4 Ac 0.000 0.758 0.239 1
Tl1 Tl 0.500 0.500 0.000 1
Si1 Si 0.000 0.000 0.000 1
Te1 Te 0.500 0.000 0.500 1
Te2 Te 0.000 0.500 0.500 1
```

Density = 7.68 g cm⁻³
Crystal system = monoclinic
E_form (uncorrected) = -960 meV/atom
DOS at the Fermi energy = 6.982 states/eV/f.u.